! PmHg3I9, optimized geometry, DFT PBE-GGA; values from VASP
&SYSTEM
  ibrav = 0, nat = 26, ntyp = 3
/
ATOMIC_SPECIES
Pm 145.00 Pm.upf
Hg 200.59 Hg.upf
I 126.90 I.upf
CELL_PARAMETERS angstrom
10.412 -5.325 0.000
10.412 5.325 0.000
-9.439 0.000 11.571
ATOMIC_POSITIONS crystal
Pm 0.233 0.767 0.500
Pm 0.767 0.233 0.000
Hg 0.198 0.342 0.785
Hg 0.342 0.198 0.285
Hg 0.567 0.708 0.335
Hg 0.708 0.567 0.835
Hg 0.757 0.979 0.179
Hg 0.979 0.757 0.679
I 0.023 0.507 0.928
I 0.070 0.934 0.675
I 0.105 0.176 0.068
I 0.176 0.105 0.568
I 0.227 0.481 0.462
I 0.251 0.561 0.796
I 0.305 0.697 0.295
I 0.481 0.227 0.962
I 0.507 0.023 0.428
I 0.549 0.848 0.972
I 0.561 0.251 0.296
I 0.575 0.623 0.621
I 0.623 0.575 0.121
I 0.697 0.305 0.795
I 0.762 0.934 0.790
I 0.848 0.549 0.472
I 0.934 0.070 0.175
I 0.934 0.762 0.290
! - formation energy without anion corrections (meV per atom) = -587
! - E (eV per cell) = -54.47

***

! Pm3Hg2I8, optimized geometry, DFT PBE-GGA; values from VASP
&SYSTEM
  ibrav = 0, nat = 13, ntyp = 3
/
ATOMIC_SPECIES
Pm 145.00 Pm.upf
Hg 200.59 Hg.upf
I 126.90 I.upf
CELL_PARAMETERS angstrom
10.603 -4.382 0.000
10.603 4.382 0.000
-0.127 0.000 7.819
ATOMIC_POSITIONS crystal
Pm 0.000 0.000 0.000
Pm 0.284 0.716 0.500
Pm 0.716 0.284 0.500
Hg 0.251 0.251 0.009
Hg 0.749 0.749 0.991
I 0.083 0.083 0.338
I 0.164 0.669 0.168
I 0.331 0.836 0.832
I 0.401 0.401 0.652
I 0.599 0.599 0.348
I 0.669 0.164 0.168
I 0.836 0.331 0.832
I 0.917 0.917 0.662
! - formation energy without anion corrections (meV per atom) = -1131
! - E (eV per cell) = -41.96

***

! Pm4HgI5, optimized geometry, DFT PBE-GGA; values from VASP
&SYSTEM
  ibrav = 0, nat = 10, ntyp = 3
/
ATOMIC_SPECIES
Pm 145.00 Pm.upf
Hg 200.59 Hg.upf
I 126.90 I.upf
CELL_PARAMETERS angstrom
9.726 -2.143 0.000
9.726 2.143 0.000
-1.902 0.000 9.045
ATOMIC_POSITIONS crystal
Pm 0.001 0.001 0.229
Pm 0.343 0.343 0.926
Pm 0.657 0.657 0.074
Pm 0.999 0.999 0.771
Hg 0.500 0.500 0.000
I 0.168 0.168 0.334
I 0.171 0.171 0.820
I 0.500 0.500 0.500
I 0.829 0.829 0.180
I 0.832 0.832 0.666
! - formation energy without anion corrections (meV per atom) = -1065
! - E (eV per cell) = -37.71

***

! Pm3HgI7, optimized geometry, DFT PBE-GGA; values from VASP
&SYSTEM
  ibrav = 0, nat = 11, ntyp = 3
/
ATOMIC_SPECIES
Pm 145.00 Pm.upf
Hg 200.59 Hg.upf
I 126.90 I.upf
CELL_PARAMETERS angstrom
8.678 0.000 0.000
-4.339 7.516 0.000
0.000 0.000 7.314
ATOMIC_POSITIONS crystal
Pm 0.168 0.335 0.000
Pm 0.168 0.832 0.000
Pm 0.665 0.832 0.000
Hg 0.000 0.000 0.279
I 0.330 0.165 0.746
I 0.333 0.667 0.732
I 0.504 0.008 0.248
I 0.504 0.496 0.248
I 0.835 0.165 0.746
I 0.835 0.670 0.746
I 0.992 0.496 0.248
! - formation energy without anion corrections (meV per atom) = -1117
! - E (eV per cell) = -37.69